1.
This record from the Alexandria database describes a PBEsol-optimized structure of BaTc. The functional is SCAN.

a = 3.3597 Å, b = 3.3597 Å, c = 14.9129 Å
α = 90.00°, β = 90.00°, γ = 120.00°
Last column: nearest neighbours and their distance in Å.
Space group R-3m (No. 166, hexagonal axes)
Symmetry-distinct sites (fractional):
Ba1 0.0000 0.0000 0.0000 x3  6 Tc 3.15, 6 Ba 3.36
Tc1 0.0000 0.0000 0.5000 x3  6 Ba 3.15, 6 Tc 3.36

Computed properties:
Formation energy, meV/atom: 1587
Energy above the most stable polymorph in this dataset, meV per atom: 1041
D(E_F), states/eV per atom: 0.890
Crystal system: trigonal
Final energy, eV/atom: -35.719

=====

2.
This record from the Alexandria database describes a PBEsol-optimized structure of Ba4TcTe. The functional is SCAN.

a = 9.6607 Å, b = 9.6607 Å, c = 9.6607 Å
α = 90.00°, β = 90.00°, γ = 90.00°
Last column: nearest neighbours and their distance in Å.
Space group F-43m (No. 216)
Symmetry-distinct sites (fractional):
Ba1 0.1251 0.1251 0.1251 x16  6 Ba 3.41-3.42
Tc1 0.0000 0.0000 0.5000 x4  12 Ba 4.00, 4 Te 4.18
Te1 0.2500 0.2500 0.7500 x4  12 Ba 4.01, 4 Tc 4.18

Computed properties:
Uncorrected formation energy, eV/atom: 0.6538
D(E_F), states/eV per atom: 0.963
Crystal system: cubic
Final energy, eV/atom: -37.765

=====

3.
This record from the Alexandria database describes a PBEsol-optimized structure of BaTiTc2. The functional is SCAN.

a = 6.6142 Å, b = 6.6142 Å, c = 6.6142 Å
α = 90.00°, β = 90.00°, γ = 90.00°
Last column: nearest neighbours and their distance in Å.
Space group Fm-3m (No. 225)
Symmetry-distinct sites (fractional):
Ba1 0.0000 0.0000 0.0000 x4  8 Tc 2.86
Ti1 0.0000 0.0000 0.5000 x4  8 Tc 2.86
Tc1 0.2500 0.2500 0.2500 x8  4 Ba 2.86, 4 Ti 2.86

Computed properties:
Formation energy, meV/atom: 909
D(E_F), states/eV per atom: 0.793
Crystal system: cubic
Final energy, eV/atom: -30.516

=====

Calculated values (g/cm3) of density for the records, taken in order: 8.04, 5.71, 8.75.